DFT (GGA-PBEsol) results for an optimized crystal structure of Na2Ga2Pd.

Output
Electronic total energy ... -3.29 eV/atom
Calculated formation energy ... -1.0 eV per formula unit
Density ... 4.7 Mg/m³

Unit cell a=6.450 b=6.450 c=5.005 alpha=90.00 beta=90.00 gamma=90.00
Sites, in units of the cell vectors:
Na (0.181, 0.319, 0.000)
Na (0.319, 0.819, 0.000)
Na (0.681, 0.181, 0.000)
Na (0.819, 0.681, 0.000)
Ga (0.141, 0.641, 0.500)
Ga (0.359, 0.141, 0.500)
Ga (0.641, 0.859, 0.500)
Ga (0.859, 0.359, 0.500)
Pd (0.000, 0.000, 0.500)
Pd (0.500, 0.500, 0.500)

***

DFT (GGA-PBEsol) results for an optimized crystal structure of Na2GaPd2.

Output
Electronic total energy ... -3.91 eV/atom
Calculated formation energy ... -1.5 eV per formula unit
Density ... 5.7 Mg/m³

Unit cell a=6.279 b=6.279 c=4.851 alpha=90.00 beta=90.00 gamma=90.00
Sites, in units of the cell vectors:
Na (0.169, 0.331, 0.000)
Na (0.331, 0.831, 0.000)
Na (0.669, 0.169, 0.000)
Na (0.831, 0.669, 0.000)
Ga (0.000, 0.000, 0.500)
Ga (0.500, 0.500, 0.500)
Pd (0.146, 0.646, 0.500)
Pd (0.354, 0.146, 0.500)
Pd (0.646, 0.854, 0.500)
Pd (0.854, 0.354, 0.500)

***

DFT (GGA-PBEsol) results for an optimized crystal structure of Na2GaRePd.

Output
Electronic total energy ... -3.75 eV/atom
Calculated formation energy ... 6.7 eV per formula unit
Density ... 5.7 Mg/m³

Unit cell a=5.040 b=5.040 c=4.707 alpha=90.00 beta=90.00 gamma=90.00
Sites, in units of the cell vectors:
Na (0.000, 0.500, 0.000)
Na (0.500, 0.000, 0.000)
Ga (0.000, 0.000, 0.500)
Re (0.500, 0.500, 0.500)
Pd (0.000, 0.000, 0.000)

***

DFT (GGA-PBEsol) results for an optimized crystal structure of NaGaReW2.

Output
Electronic total energy ... -6.04 eV/atom
Calculated formation energy ... 15.5 eV per formula unit
Density ... 12.2 Mg/m³

Unit cell a=4.435 b=4.435 c=4.468 alpha=90.00 beta=90.00 gamma=90.00
Sites, in units of the cell vectors:
Na (0.000, 0.000, 0.000)
Ga (0.500, 0.500, 0.500)
Re (0.000, 0.000, 0.500)
W (0.000, 0.500, 0.000)
W (0.500, 0.000, 0.000)

***

DFT (GGA-PBEsol) results for an optimized crystal structure of Na2Ga2Rh.

Output
Electronic total energy ... -3.01 eV/atom
Calculated formation energy ... 2.6 eV per formula unit
Density ... 4.4 Mg/m³

Unit cell a=3.507 b=3.507 c=17.748 alpha=90.00 beta=90.00 gamma=90.00
Sites, in units of the cell vectors:
Na (0.000, 0.000, 0.093)
Na (0.000, 0.000, 0.907)
Na (0.500, 0.500, 0.407)
Na (0.500, 0.500, 0.593)
Ga (0.000, 0.500, 0.250)
Ga (0.000, 0.500, 0.750)
Ga (0.500, 0.000, 0.250)
Ga (0.500, 0.000, 0.750)
Rh (0.000, 0.000, 0.500)
Rh (0.500, 0.500, 0.000)

***

DFT (GGA-PBEsol) results for an optimized crystal structure of NaGa3Ru.

Output
Electronic total energy ... -4.49 eV/atom
Calculated formation energy ... -0.8 eV per formula unit
Density ... 5.2 Mg/m³

Unit cell a=4.752 b=4.752 c=4.752 alpha=90.00 beta=90.00 gamma=90.00
Sites, in units of the cell vectors:
Na (0.000, 0.000, 0.000)
Ga (0.000, 0.500, 0.500)
Ga (0.500, 0.000, 0.500)
Ga (0.500, 0.500, 0.000)
Ru (0.500, 0.500, 0.500)

***

DFT (GGA-PBEsol) results for an optimized crystal structure of Na4Ga2S5.

Output
ΔE_f (raw) ... -1022 meV/atom
Electronic total energy ... -4.13 eV/atom
Density ... 2.7 Mg/m³

Unit cell a=7.959 b=6.046 c=19.805 alpha=90.00 beta=91.20 gamma=90.00
Sites, in units of the cell vectors:
Na (0.075, 0.243, 0.043)
Na (0.075, 0.257, 0.543)
Na (0.111, 0.504, 0.201)
Na (0.111, 0.996, 0.701)
Na (0.345, 0.523, 0.784)
Na (0.345, 0.977, 0.284)
Na (0.403, 0.539, 0.603)
Na (0.403, 0.961, 0.103)
Na (0.597, 0.039, 0.897)
Na (0.597, 0.461, 0.397)
Na (0.655, 0.023, 0.716)
Na (0.655, 0.477, 0.216)
Na (0.889, 0.004, 0.299)
Na (0.889, 0.496, 0.799)
Na (0.925, 0.743, 0.457)
Na (0.925, 0.757, 0.957)
Ga (0.167, 0.065, 0.865)
Ga (0.167, 0.435, 0.365)
Ga (0.347, 0.585, 0.963)
Ga (0.347, 0.915, 0.463)
Ga (0.653, 0.085, 0.537)
Ga (0.653, 0.415, 0.037)
Ga (0.833, 0.565, 0.635)
Ga (0.833, 0.935, 0.135)
S (0.092, 0.023, 0.173)
S (0.092, 0.477, 0.673)
S (0.134, 0.070, 0.402)
S (0.134, 0.430, 0.902)
S (0.260, 0.560, 0.470)
S (0.260, 0.940, 0.970)
S (0.369, 0.014, 0.792)
S (0.369, 0.486, 0.292)
S (0.388, 0.024, 0.575)
S (0.388, 0.476, 0.075)
S (0.612, 0.524, 0.925)
S (0.612, 0.976, 0.425)
S (0.631, 0.514, 0.708)
S (0.631, 0.986, 0.208)
S (0.740, 0.060, 0.030)
S (0.740, 0.440, 0.530)
S (0.866, 0.570, 0.098)
S (0.866, 0.930, 0.598)
S (0.908, 0.523, 0.327)
S (0.908, 0.977, 0.827)

***

DFT (GGA-PBEsol) results for an optimized crystal structure of Na2TlGaS.

Output
ΔE_f (raw) ... 376 meV/atom
Electronic total energy ... -2.25 eV/atom
Density ... 3.5 Mg/m³

Unit cell a=5.584 b=5.584 c=5.378 alpha=90.00 beta=90.00 gamma=90.00
Sites, in units of the cell vectors:
Na (0.000, 0.500, 0.000)
Na (0.500, 0.000, 0.000)
Tl (0.000, 0.000, 0.000)
Ga (0.500, 0.500, 0.500)
S (0.000, 0.000, 0.500)

***

DFT (GGA-PBEsol) results for an optimized crystal structure of Na2Ga3Sb3.

Output
ΔE_f (raw) ... -260 meV/atom
Electronic total energy ... -3.57 eV/atom
Density ... 5.0 Mg/m³

Unit cell a=26.756 b=4.286 c=7.217 alpha=90.00 beta=90.00 gamma=90.00
Sites, in units of the cell vectors:
Na (0.003, 0.250, 0.218)
Na (0.183, 0.250, 0.252)
Na (0.317, 0.750, 0.752)
Na (0.497, 0.750, 0.718)
Na (0.503, 0.250, 0.282)
Na (0.683, 0.250, 0.248)
Na (0.817, 0.750, 0.748)
Na (0.997, 0.750, 0.782)
Ga (0.119, 0.750, 0.453)
Ga (0.122, 0.250, 0.897)
Ga (0.208, 0.750, 0.570)
Ga (0.292, 0.250, 0.070)
Ga (0.378, 0.750, 0.397)
Ga (0.381, 0.250, 0.953)
Ga (0.619, 0.750, 0.047)
Ga (0.622, 0.250, 0.603)
Ga (0.708, 0.750, 0.930)
Ga (0.792, 0.250, 0.430)
Ga (0.878, 0.750, 0.103)
Ga (0.881, 0.250, 0.547)
Sb (0.071, 0.250, 0.586)
Sb (0.093, 0.750, 0.091)
Sb (0.220, 0.250, 0.794)
Sb (0.280, 0.750, 0.294)
Sb (0.407, 0.250, 0.591)
Sb (0.429, 0.750, 0.086)
Sb (0.571, 0.250, 0.914)
Sb (0.593, 0.750, 0.409)
Sb (0.720, 0.250, 0.706)
Sb (0.780, 0.750, 0.206)
Sb (0.907, 0.250, 0.909)
Sb (0.929, 0.750, 0.414)

***

DFT (GGA-PBEsol) results for an optimized crystal structure of NaGa3Sb.

Output
ΔE_f (raw) ... 678 meV/atom
Electronic total energy ... -2.52 eV/atom
Density ... 4.6 Mg/m³

Unit cell a=5.044 b=5.044 c=5.044 alpha=90.00 beta=90.00 gamma=90.00
Sites, in units of the cell vectors:
Na (0.000, 0.000, 0.000)
Ga (0.000, 0.000, 0.500)
Ga (0.000, 0.500, 0.000)
Ga (0.500, 0.000, 0.000)
Sb (0.500, 0.500, 0.500)

***

DFT (GGA-PBEsol) results for an optimized crystal structure of NaGaSbTe2.

Output
ΔE_f (raw) ... 604 meV/atom
Electronic total energy ... -2.67 eV/atom
Density ... 4.9 Mg/m³

Unit cell a=5.495 b=5.495 c=5.266 alpha=90.00 beta=90.00 gamma=90.00
Sites, in units of the cell vectors:
Na (0.000, 0.000, 0.000)
Ga (0.500, 0.500, 0.500)
Sb (0.000, 0.000, 0.500)
Te (0.000, 0.500, 0.000)
Te (0.500, 0.000, 0.000)

***

DFT (GGA-PBEsol) results for an optimized crystal structure of NaSc2Ga.

Output
Electronic total energy ... -4.15 eV/atom
Calculated formation energy ... 1.3 eV per formula unit
Density ... 3.1 Mg/m³

Unit cell a=3.120 b=3.120 c=34.841 alpha=90.00 beta=90.00 gamma=120.00
Sites, in units of the cell vectors:
Na (0.000, 0.000, 0.000)
Na (0.333, 0.667, 0.667)
Na (0.667, 0.333, 0.333)
Sc (0.000, 0.000, 0.420)
Sc (0.000, 0.000, 0.580)
Sc (0.333, 0.667, 0.087)
Sc (0.333, 0.667, 0.247)
Sc (0.667, 0.333, 0.753)
Sc (0.667, 0.333, 0.913)
Ga (0.000, 0.000, 0.500)
Ga (0.333, 0.667, 0.167)
Ga (0.667, 0.333, 0.833)